(1)
# ZnSeBr2, relaxed, DFT PBE
data_ZnSeBr2
_cell_length_a 3.848
_cell_length_b 3.848
_cell_length_c 25.369
_cell_angle_alpha 90.00
_cell_angle_beta 90.00
_cell_angle_gamma 120.00
_space_group_name_H-M_alt 'P 1'
_space_group_IT_number 1
loop_
_space_group_symop_operation_xyz
'x,y,z'
loop_
_atom_site_label
_atom_site_fract_x
_atom_site_fract_y
_atom_site_fract_z
Zn1 0.000 0.000 0.000
Zn2 0.333 0.667 0.667
Zn3 0.667 0.333 0.333
Se1 0.000 0.000 0.278
Se2 0.333 0.667 0.945
Se3 0.667 0.333 0.612
Br1 0.000 0.000 0.531
Br2 0.000 0.000 0.727
Br3 0.333 0.667 0.198
Br4 0.333 0.667 0.393
Br5 0.667 0.333 0.060
Br6 0.667 0.333 0.864
# Magnetization: 4.99 Bohr magnetons per cell
# Formation energy without anion corrections: -38 kJ/mol of formula units

=====

(2)
# PrH8Rh2, relaxed, DFT PBE
data_PrH8Rh2
_cell_length_a 5.965
_cell_length_b 5.965
_cell_length_c 5.965
_cell_angle_alpha 136.53
_cell_angle_beta 136.53
_cell_angle_gamma 63.16
_space_group_name_H-M_alt 'P 1'
_space_group_IT_number 1
loop_
_space_group_symop_operation_xyz
'x,y,z'
loop_
_atom_site_label
_atom_site_fract_x
_atom_site_fract_y
_atom_site_fract_z
Pr1 0.000 0.000 0.000
H1 0.117 0.117 0.556
H2 0.117 0.561 0.000
H3 0.439 0.439 0.556
H4 0.439 0.883 0.000
H5 0.561 0.117 0.000
H6 0.561 0.561 0.444
H7 0.883 0.439 0.000
H8 0.883 0.883 0.444
Rh1 0.250 0.750 0.500
Rh2 0.750 0.250 0.500
# Magnetization: 0.00 Bohr magnetons per cell
# Calculated total energy: -4.355 eV per atom

=====

(3)
# Co2SeBr, relaxed, DFT PBE
data_Co2SeBr
_cell_length_a 3.411
_cell_length_b 3.269
_cell_length_c 6.364
_cell_angle_alpha 90.00
_cell_angle_beta 90.07
_cell_angle_gamma 90.00
_space_group_name_H-M_alt 'P 1'
_space_group_IT_number 1
loop_
_space_group_symop_operation_xyz
'x,y,z'
loop_
_atom_site_label
_atom_site_fract_x
_atom_site_fract_y
_atom_site_fract_z
Co1 0.000 0.000 0.177
Co2 0.000 0.000 0.823
Se1 0.500 0.500 0.000
Br1 0.000 0.500 0.500
# Magnetization: 3.61 Bohr magnetons per cell
# Formation energy without anion corrections: 102 kJ/mol of formula units

=====

(4)
# Zr2AlAu, relaxed, DFT PBE
data_Zr2AlAu
_cell_length_a 3.304
_cell_length_b 3.304
_cell_length_c 26.777
_cell_angle_alpha 90.00
_cell_angle_beta 90.00
_cell_angle_gamma 120.00
_space_group_name_H-M_alt 'P 1'
_space_group_IT_number 1
loop_
_space_group_symop_operation_xyz
'x,y,z'
loop_
_atom_site_label
_atom_site_fract_x
_atom_site_fract_y
_atom_site_fract_z
Zr1 0.000 0.000 0.000
Zr2 0.000 0.000 0.243
Zr3 0.333 0.667 0.667
Zr4 0.333 0.667 0.910
Zr5 0.667 0.333 0.333
Zr6 0.667 0.333 0.576
Al1 0.000 0.000 0.756
Al2 0.333 0.667 0.422
Al3 0.667 0.333 0.089
Au1 0.000 0.000 0.492
Au2 0.333 0.667 0.159
Au3 0.667 0.333 0.825
# Magnetization: 0.00 Bohr magnetons per cell
# Formation energy from the elements: -0.1891 eV/atom

=====

(5)
# CdMoSe4, relaxed, DFT PBE
data_CdMoSe4
_cell_length_a 5.748
_cell_length_b 5.748
_cell_length_c 5.748
_cell_angle_alpha 60.00
_cell_angle_beta 60.00
_cell_angle_gamma 60.00
_space_group_name_H-M_alt 'P 1'
_space_group_IT_number 1
loop_
_space_group_symop_operation_xyz
'x,y,z'
loop_
_atom_site_label
_atom_site_fract_x
_atom_site_fract_y
_atom_site_fract_z
Cd1 0.000 0.000 0.000
Mo1 0.750 0.750 0.750
Se1 0.375 0.375 0.375
Se2 0.375 0.375 0.874
Se3 0.375 0.874 0.375
Se4 0.874 0.375 0.375
# Magnetization: 4.09 Bohr magnetons per cell
# Formation energy without anion corrections: 497 kJ/mol of formula units

=====

(6)
# Pm3NdDy2Tm6, relaxed, DFT PBE
data_Pm3NdDy2Tm6
_cell_length_a 6.164
_cell_length_b 6.164
_cell_length_c 11.690
_cell_angle_alpha 95.03
_cell_angle_beta 95.03
_cell_angle_gamma 119.98
_space_group_name_H-M_alt 'P 1'
_space_group_IT_number 1
loop_
_space_group_symop_operation_xyz
'x,y,z'
loop_
_atom_site_label
_atom_site_fract_x
_atom_site_fract_y
_atom_site_fract_z
Pm1 0.000 0.000 0.000
Pm2 0.333 0.667 0.000
Pm3 0.667 0.333 0.000
Nd1 0.500 0.500 0.500
Dy1 0.167 0.833 0.500
Dy2 0.833 0.167 0.500
Tm1 0.083 0.417 0.251
Tm2 0.250 0.250 0.749
Tm3 0.417 0.083 0.251
Tm4 0.583 0.917 0.749
Tm5 0.750 0.750 0.251
Tm6 0.917 0.583 0.749
# Magnetization: 0.00 Bohr magnetons per cell
# Formation energy from the elements: 0.0191 eV/atom

=====

(7)
# PuScTlCl6, relaxed, DFT PBE
data_PuScTlCl6
_cell_length_a 6.958
_cell_length_b 6.958
_cell_length_c 14.077
_cell_angle_alpha 90.00
_cell_angle_beta 90.00
_cell_angle_gamma 120.00
_space_group_name_H-M_alt 'P 1'
_space_group_IT_number 1
loop_
_space_group_symop_operation_xyz
'x,y,z'
loop_
_atom_site_label
_atom_site_fract_x
_atom_site_fract_y
_atom_site_fract_z
Pu1 0.333 0.667 0.250
Pu2 0.667 0.333 0.750
Sc1 0.333 0.667 0.750
Sc2 0.667 0.333 0.250
Tl1 0.000 0.000 0.000
Tl2 0.000 0.000 0.500
Cl1 0.028 0.380 0.644
Cl2 0.028 0.648 0.856
Cl3 0.352 0.380 0.856
Cl4 0.352 0.972 0.644
Cl5 0.380 0.028 0.144
Cl6 0.380 0.352 0.356
Cl7 0.620 0.648 0.644
Cl8 0.620 0.972 0.856
Cl9 0.648 0.028 0.356
Cl10 0.648 0.620 0.144
Cl11 0.972 0.352 0.144
Cl12 0.972 0.620 0.356
# Magnetization: 12.00 Bohr magnetons per cell
# Formation energy without anion corrections: -1554 kJ/mol of formula units

=====

(8)
# Sm3EuH, relaxed, DFT PBE
data_Sm3EuH
_cell_length_a 5.149
_cell_length_b 5.149
_cell_length_c 5.149
_cell_angle_alpha 90.00
_cell_angle_beta 90.00
_cell_angle_gamma 90.00
_space_group_name_H-M_alt 'P 1'
_space_group_IT_number 1
loop_
_space_group_symop_operation_xyz
'x,y,z'
loop_
_atom_site_label
_atom_site_fract_x
_atom_site_fract_y
_atom_site_fract_z
Sm1 0.000 0.000 0.500
Sm2 0.000 0.500 0.000
Sm3 0.500 0.000 0.000
Eu1 0.500 0.500 0.500
H1 0.000 0.000 0.000
# Magnetization: 6.94 Bohr magnetons per cell
# Calculated total energy: -5.687 eV per atom

=====

(9)
# Co2Hg2Au, relaxed, DFT PBE
data_Co2Hg2Au
_cell_length_a 6.609
_cell_length_b 6.609
_cell_length_c 3.928
_cell_angle_alpha 90.00
_cell_angle_beta 90.00
_cell_angle_gamma 90.00
_space_group_name_H-M_alt 'P 1'
_space_group_IT_number 1
loop_
_space_group_symop_operation_xyz
'x,y,z'
loop_
_atom_site_label
_atom_site_fract_x
_atom_site_fract_y
_atom_site_fract_z
Co1 0.120 0.380 0.000
Co2 0.380 0.880 0.000
Co3 0.620 0.120 0.000
Co4 0.880 0.620 0.000
Hg1 0.175 0.675 0.500
Hg2 0.325 0.175 0.500
Hg3 0.675 0.825 0.500
Hg4 0.825 0.325 0.500
Au1 0.000 0.000 0.000
Au2 0.500 0.500 0.000
# Magnetization: 5.06 Bohr magnetons per cell
# Formation energy from the elements: 0.3731 eV/atom

=====

(10)
# CaY4Pb, relaxed, DFT PBE
data_CaY4Pb
_cell_length_a 6.590
_cell_length_b 6.590
_cell_length_c 6.590
_cell_angle_alpha 60.00
_cell_angle_beta 60.00
_cell_angle_gamma 60.00
_space_group_name_H-M_alt 'P 1'
_space_group_IT_number 1
loop_
_space_group_symop_operation_xyz
'x,y,z'
loop_
_atom_site_label
_atom_site_fract_x
_atom_site_fract_y
_atom_site_fract_z
Ca1 0.000 0.000 0.000
Y1 0.125 0.625 0.625
Y2 0.625 0.125 0.625
Y3 0.625 0.625 0.125
Y4 0.625 0.625 0.625
Pb1 0.250 0.250 0.250
# Magnetization: 0.00 Bohr magnetons per cell
# Formation energy from the elements: 0.1594 eV/atom

=====

(11)
# Nd7Ho2Tm, relaxed, DFT PBE
data_Nd7Ho2Tm
_cell_length_a 9.437
_cell_length_b 9.437
_cell_length_c 5.612
_cell_angle_alpha 90.00
_cell_angle_beta 90.00
_cell_angle_gamma 124.22
_space_group_name_H-M_alt 'P 1'
_space_group_IT_number 1
loop_
_space_group_symop_operation_xyz
'x,y,z'
loop_
_atom_site_label
_atom_site_fract_x
_atom_site_fract_y
_atom_site_fract_z
Nd1 0.000 0.000 0.000
Nd2 0.209 0.433 0.000
Nd3 0.286 0.714 0.500
Nd4 0.433 0.209 0.000
Nd5 0.567 0.791 0.000
Nd6 0.714 0.286 0.500
Nd7 0.791 0.567 0.000
Ho1 0.206 0.794 0.000
Ho2 0.794 0.206 0.000
Tm1 0.500 0.500 0.500
# Magnetization: 0.00 Bohr magnetons per cell
# Formation energy from the elements: 0.6388 eV/atom

=====

(12)
# Sm3Y3Ho, relaxed, DFT PBE
data_Sm3Y3Ho
_cell_length_a 14.773
_cell_length_b 14.773
_cell_length_c 14.773
_cell_angle_alpha 24.37
_cell_angle_beta 24.37
_cell_angle_gamma 24.37
_space_group_name_H-M_alt 'P 1'
_space_group_IT_number 1
loop_
_space_group_symop_operation_xyz
'x,y,z'
loop_
_atom_site_label
_atom_site_fract_x
_atom_site_fract_y
_atom_site_fract_z
Sm1 0.132 0.463 0.801
Sm2 0.199 0.868 0.537
Sm3 0.463 0.801 0.132
Sm4 0.537 0.199 0.868
Sm5 0.801 0.132 0.463
Sm6 0.868 0.537 0.199
Y1 0.065 0.732 0.399
Y2 0.268 0.601 0.935
Y3 0.399 0.065 0.732
Y4 0.601 0.935 0.268
Y5 0.732 0.399 0.065
Y6 0.935 0.268 0.601
Ho1 0.333 0.333 0.333
Ho2 0.667 0.667 0.667
# Magnetization: 0.00 Bohr magnetons per cell
# Formation energy from the elements: 0.1596 eV/atom